[1]
The following is a DFT calculation (PBE) of an optimized crystal structure of KRb3Cu2F6.

Values from the calculation:
Symmetry ... P-3m1, No. 164
Total moment ... 0.24 μB/f.u.
Formation energy from raw total energies ... -2040 meV/atom

Cell lengths 6.6382, 6.6382, 7.5015 Å; angles 90.00, 90.00, 120.00 degrees
Closest atoms and distances in Å follow each position.
Sites, in units of the cell vectors:
Rb 0.3333 0.6667 0.7236  6 F 3.32, 1 Cu 3.52
Rb 0.0000 0.0000 0.0000  6 F 2.74
Cu 0.3333 0.6667 0.2540  3 F 1.94
F 0.3291 0.1645 0.7356  1 Cu 1.94
F 0.8355 0.1645 0.7356  1 Cu 1.94
F 0.6709 0.8355 0.2644  1 Cu 1.94
F 0.1645 0.3291 0.2644  1 Cu 1.94
F 0.8355 0.6709 0.7356  1 Cu 1.94
Cu 0.6667 0.3333 0.7460  3 F 1.94
K 0.0000 0.0000 0.5000  6 F 2.59
F 0.1645 0.8355 0.2644  1 Cu 1.94
Rb 0.6667 0.3333 0.2764  6 F 3.32, 1 Cu 3.52


[2]
The following is a DFT calculation (PBE) of an optimized crystal structure of K2CuRh3F12.

Values from the calculation:
Symmetry ... R-3m, No. 166
Total moment ... 0.08 μB/f.u.
Formation energy from raw total energies ... -1791 meV/atom

Cell lengths 7.4761, 7.4761, 7.4761 Å; angles 59.35, 59.35, 59.35 degrees
Closest atoms and distances in Å follow each position.
Sites, in units of the cell vectors:
F 0.6636 0.0804 0.0804  1 Rh 2.02, 1 Cu 2.08
Rh 0.0000 0.0000 0.5000  6 F 2.02-2.03
F 0.3364 0.9196 0.9196  1 Rh 2.02, 1 Cu 2.08
F 0.0803 0.6699 0.6699  2 Rh 2.03
K 0.6466 0.6466 0.6466  3 F 2.88
F 0.9197 0.3301 0.3301  2 Rh 2.03
K 0.3534 0.3534 0.3534  3 F 2.88
F 0.6699 0.6699 0.0803  2 Rh 2.03
Rh 0.5000 0.0000 0.0000  6 F 2.02-2.03
Cu 0.0000 0.0000 0.0000  6 F 2.08
F 0.9196 0.9196 0.3364  1 Rh 2.02, 1 Cu 2.08
F 0.9196 0.3364 0.9196  1 Rh 2.02, 1 Cu 2.08
F 0.6699 0.0803 0.6699  2 Rh 2.03
F 0.0804 0.0804 0.6636  1 Rh 2.02, 1 Cu 2.08
F 0.3301 0.9197 0.3301  2 Rh 2.03
Rh 0.0000 0.5000 0.0000  6 F 2.02-2.03
F 0.3301 0.3301 0.9197  2 Rh 2.03
F 0.0804 0.6636 0.0804  1 Rh 2.02, 1 Cu 2.08


[3]
The following is a DFT calculation (PBE) of an optimized crystal structure of KCuRh2F.

Values from the calculation:
Symmetry ... P4/mmm, No. 123
Total moment ... 2.48 μB/f.u.
Formation energy from raw total energies ... 1877 meV/atom

Cell lengths 5.0367, 4.9630, 5.0367 Å; angles 90.00, 90.00, 90.00 degrees
Closest atoms and distances in Å follow each position.
Sites, in units of the cell vectors:
Rh 0.5000 0.0000 0.0000  2 K 2.52
Rh 0.0000 0.0000 0.5000  2 K 2.52
F 0.5000 0.5000 0.5000  8 Rh 3.54, 4 Cu 3.56
Cu 0.0000 0.5000 0.0000  2 K 2.48
K 0.0000 0.0000 0.0000  2 Cu 2.48, 4 Rh 2.52


Repeat the third record exactly.
The following is a DFT calculation (PBE) of an optimized crystal structure of KCuRh2F.

Values from the calculation:
Symmetry ... P4/mmm, No. 123
Total moment ... 2.48 μB/f.u.
Formation energy from raw total energies ... 1877 meV/atom

Cell lengths 5.0367, 4.9630, 5.0367 Å; angles 90.00, 90.00, 90.00 degrees
Closest atoms and distances in Å follow each position.
Sites, in units of the cell vectors:
Rh 0.5000 0.0000 0.0000  2 K 2.52
Rh 0.0000 0.0000 0.5000  2 K 2.52
F 0.5000 0.5000 0.5000  8 Rh 3.54, 4 Cu 3.56
Cu 0.0000 0.5000 0.0000  2 K 2.48
K 0.0000 0.0000 0.0000  2 Cu 2.48, 4 Rh 2.52